1.
A plane-wave DFT calculation with PBE was carried out for a geometry-optimized Ac5GeBi4 structure.

abc: 6.834 8.356 8.356
angles: 80.37 65.86 65.86
Positions (direct):
1 Ac 0.904 0.385 0.809
2 Ac 0.289 0.809 0.615
3 Ac 0.713 0.191 0.385
4 Ac 0.098 0.615 0.191
5 Ac 0.501 0.000 0.000
6 Ge 0.002 0.000 0.000
7 Bi 0.406 0.397 0.793
8 Bi 0.803 0.793 0.603
9 Bi 0.198 0.207 0.397
10 Bi 0.596 0.603 0.207

Results
**Formation energy**: -864 kJ/mol of formula units

---

2.
A plane-wave DFT calculation with PBE was carried out for a geometry-optimized TiCo4Pd structure.

abc: 4.736 4.736 4.736
angles: 60.00 60.00 60.00
Site moments in Bohr magnetons follow the coordinates.
Positions (direct):
1 Co 0.625 0.625 0.124  1.56
2 Co 0.625 0.124 0.625  1.56
3 Co 0.625 0.625 0.625  1.56
4 Co 0.124 0.625 0.625  1.56
5 Pd 0.000 0.000 0.000  0.18
6 Ti 0.250 0.250 0.250  -0.60

Results
**Formation energy**: -113 kJ/mol of formula units

---

3.
A plane-wave DFT calculation with PBE was carried out for a geometry-optimized Tb2Pu2S7 structure.

abc: 3.909 8.428 8.428
angles: 61.08 76.59 76.59
Site moments in Bohr magnetons follow the coordinates.
Positions (direct):
1 Tb 0.000 0.786 0.214  -0.02
2 Tb 0.500 0.329 0.671  0.00
3 Pu 0.743 0.844 0.670  4.67
4 Pu 0.257 0.330 0.156  4.67
5 S 0.815 0.078 0.292  -0.22
6 S 0.860 0.417 0.863  -0.15
7 S 0.500 0.009 0.991  -0.15
8 S 0.611 0.496 0.282  -0.11
9 S 0.389 0.718 0.504  -0.11
10 S 0.185 0.708 0.922  -0.22
11 S 0.140 0.137 0.583  -0.15

Results
**Formation energy without anion corrections**: -1.65 eV/atom

---

4.
A plane-wave DFT calculation with PBE was carried out for a geometry-optimized Pr4Er3Th2 structure.

abc: 6.216 10.117 10.117
angles: 72.33 83.64 83.64
Positions (direct):
1 Pr 0.517 0.086 0.811
2 Pr 0.983 0.189 0.914
3 Pr 0.483 0.914 0.189
4 Pr 0.017 0.811 0.086
5 Pr 0.652 0.847 0.586
6 Pr 0.848 0.414 0.153
7 Pr 0.348 0.153 0.414
8 Pr 0.152 0.586 0.847
9 Er 0.080 0.945 0.715
10 Er 0.420 0.285 0.055
11 Er 0.920 0.055 0.285
12 Er 0.580 0.715 0.945
13 Er 0.250 0.392 0.608
14 Er 0.750 0.608 0.392
15 Th 0.189 0.745 0.470
16 Th 0.311 0.530 0.255
17 Th 0.811 0.255 0.530
18 Th 0.689 0.470 0.745

Results
**Formation energy**: 103 kJ/mol of formula units
**Relative energy among the computed polymorphs**: 36.9 meV per atom

---

5.
A plane-wave DFT calculation with PBE was carried out for a geometry-optimized KTlIr2 structure.

abc: 2.998 2.998 9.169
angles: 90.00 90.00 90.00
Positions (direct):
1 Ir 0.000 0.000 0.960
2 Ir 0.000 0.000 0.540
3 K 0.500 0.500 0.250
4 Tl 0.500 0.500 0.750

Results
**Formation energy**: 336 kJ/mol of formula units
**Relative energy among the computed polymorphs**: 558.3 meV per atom

---

6.
A plane-wave DFT calculation with PBE was carried out for a geometry-optimized Tb2TiIn8 structure.

abc: 4.586 4.586 12.906
angles: 90.00 90.00 90.00
Positions (direct):
1 Tb 0.000 0.000 0.318
2 Tb 0.000 0.000 0.682
3 Ti 0.000 0.000 0.000
4 In 0.000 0.500 0.500
5 In 0.500 0.000 0.500
6 In 0.500 0.500 0.316
7 In 0.500 0.500 0.684
8 In 0.000 0.500 0.134
9 In 0.500 0.000 0.134
10 In 0.000 0.500 0.866
11 In 0.500 0.000 0.866

Results
**Formation energy**: -316 kJ/mol of formula units

---

7.
A plane-wave DFT calculation with PBE was carried out for a geometry-optimized In3TcW structure.

abc: 5.133 5.133 5.133
angles: 90.00 90.00 90.00
Site moments in Bohr magnetons follow the coordinates.
Positions (direct):
1 Tc 0.000 0.000 0.000  0.90
2 W 0.500 0.500 0.500  3.20
3 In 0.000 0.500 0.000  -0.06
4 In 0.000 0.000 0.500  -0.04
5 In 0.500 0.000 0.000  0.00

Results
**Formation energy**: 692 kJ/mol of formula units
**Relative energy among the computed polymorphs**: 0.0 meV per atom

---

8.
A plane-wave DFT calculation with PBE was carried out for a geometry-optimized CsAu2Cl2 structure.

abc: 4.011 4.011 9.083
angles: 77.25 77.25 90.00
Positions (direct):
1 Cs 0.000 0.000 0.000
2 Au 0.750 0.250 0.500
3 Au 0.250 0.750 0.500
4 Cl 0.383 0.383 0.234
5 Cl 0.617 0.617 0.766

Results
**Formation energy without anion corrections**: -0.51 eV/atom
**Relative energy among the computed polymorphs**: 0.0 meV per atom

---

Number 1: magnetic moment 0.0 μB per cell, total DFT energy (no corrections) -4.9636 eV per atom. Number 2: magnetic moment 5.6 μB per cell, total DFT energy (no corrections) -7.1134 eV per atom. Number 3: magnetic moment 8.0 μB per cell, total DFT energy (no corrections) -7.7262 eV per atom. Number 4: magnetic moment 0.0 μB per cell, total DFT energy (no corrections) -5.1752 eV per atom. Number 5: magnetic moment 0.0 μB per cell, total DFT energy (no corrections) -4.4263 eV per atom. Number 6: magnetic moment 0.0 μB per cell, total DFT energy (no corrections) -3.8488 eV per atom. Number 7: magnetic moment 5.2 μB per cell, total DFT energy (no corrections) -4.8719 eV per atom. Number 8: magnetic moment 0.0 μB per cell, total DFT energy (no corrections) -2.7351 eV per atom.